(1)
Compound: Mn2ReTc
Source: Alexandria
Functional: PBE
Structure: relaxed

Values from the calculation:
* calculated formation energy: 3.379 eV/f.u.
* space-group type: I-42d, No. 122
* total magnetization: 0.0 μB/f.u.
* raw total energy: -9.444 eV/atom

Unit cell a=3.764 b=3.764 c=8.549 alpha=77.28 beta=77.28 gamma=90.00
Positions (direct):
Tc (0.250, 0.750, 0.500)
Tc (0.500, 0.500, 0.000)
Re (0.000, 0.000, 0.000)
Re (0.750, 0.250, 0.500)
Mn (0.875, 0.874, 0.750)
Mn (0.375, 0.376, 0.750)
Mn (0.126, 0.625, 0.250)
Mn (0.624, 0.125, 0.250)

---

(2)
Compound: BaPt2Br
Source: Alexandria
Functional: PBE
Structure: relaxed

Values from the calculation:
* space-group type: C2/m, No. 12
* formation energy without anion corrections: -0.79 eV/f.u.
* total magnetization: 0.0 μB/f.u.
* energy above the most stable polymorph in this dataset: 416.0 meV per atom
* raw total energy: -4.116 eV/atom

Unit cell a=6.438 b=6.438 c=4.260 alpha=70.71 beta=70.71 gamma=124.38
Positions (direct):
Pt (0.000, 0.000, 0.000)
Pt (0.500, 0.500, 0.000)
Ba (0.500, 0.000, 0.500)
Br (0.000, 0.500, 0.500)

---

(3)
Compound: La2HoIn9
Source: Alexandria
Functional: PBE
Structure: relaxed

Values from the calculation:
* calculated formation energy: -5.489 eV/f.u.
* space-group type: P4/mmm, No. 123
* total magnetization: 0.0 μB/f.u.
* raw total energy: -3.714 eV/atom

Unit cell a=4.744 b=4.744 c=14.171 alpha=90.00 beta=90.00 gamma=90.00
Positions (direct):
In (0.500, 0.000, 0.500)
In (0.500, 0.000, 0.160)
In (0.000, 0.500, 0.500)
In (0.500, 0.000, 0.840)
In (0.500, 0.500, 0.000)
In (0.000, 0.500, 0.160)
In (0.000, 0.500, 0.840)
In (0.500, 0.500, 0.667)
In (0.500, 0.500, 0.333)
La (0.000, 0.000, 0.671)
La (0.000, 0.000, 0.329)
Ho (0.000, 0.000, 0.000)

---

(4)
Compound: KGaReGe2
Source: Alexandria
Functional: PBE
Structure: relaxed

Values from the calculation:
* calculated formation energy: 0.125 eV/f.u.
* space-group type: P4/mmm, No. 123
* total magnetization: 0.0 μB/f.u.
* raw total energy: -5.136 eV/atom

Unit cell a=4.899 b=4.899 c=4.959 alpha=90.00 beta=90.00 gamma=90.00
Positions (direct):
Ge (0.500, 0.000, 0.000)
Ge (0.000, 0.500, 0.000)
K (0.500, 0.500, 0.500)
Ga (0.000, 0.000, 0.500)
Re (0.000, 0.000, 0.000)

---

(5)
Compound: Pr5YEr2Tm
Source: Alexandria
Functional: PBE
Structure: relaxed

Values from the calculation:
* calculated formation energy: 2.694 eV/f.u.
* space-group type: I4/mcm, No. 140
* total magnetization: 0.0 μB/f.u.
* raw total energy: -4.585 eV/atom

Unit cell a=7.978 b=7.978 c=11.422 alpha=110.44 beta=110.44 gamma=90.00
Positions (direct):
Y (0.250, 0.250, 0.500)
Y (0.750, 0.750, 0.500)
Er (0.129, 0.371, 0.000)
Er (0.629, 0.129, 0.000)
Er (0.871, 0.629, 0.000)
Er (0.371, 0.871, 0.000)
Pr (0.500, 0.500, 0.000)
Pr (0.162, 0.074, 0.736)
Pr (0.662, 0.162, 0.736)
Pr (0.426, 0.338, 0.264)
Pr (0.838, 0.926, 0.264)
Pr (0.574, 0.662, 0.736)
Pr (0.074, 0.574, 0.736)
Pr (0.338, 0.838, 0.264)
Pr (0.000, 0.000, 0.000)
Pr (0.926, 0.426, 0.264)
Tm (0.250, 0.750, 0.500)
Tm (0.750, 0.250, 0.500)

---

(6)
Compound: VCdI4
Source: Alexandria
Functional: PBE
Structure: relaxed

Values from the calculation:
* space-group type: C2/m, No. 12
* formation energy without anion corrections: -3.06 eV/f.u.
* total magnetization: 3.0 μB/f.u.
* raw total energy: -3.216 eV/atom

Unit cell a=4.210 b=8.606 c=7.388 alpha=117.74 beta=90.00 gamma=104.16
Positions (direct):
I (0.114, 0.227, 0.810)
I (0.609, 0.218, 0.268)
I (0.886, 0.773, 0.190)
I (0.391, 0.782, 0.732)
V (0.000, 0.000, 0.000)
Cd (0.500, 0.000, 0.500)

---

(7)
Compound: Sm4TePb
Source: Alexandria
Functional: PBE
Structure: relaxed

Values from the calculation:
* space-group type: C2/c, No. 15
* formation energy without anion corrections: -2.61 eV/f.u.
* total magnetization: 0.0 μB/f.u.
* raw total energy: -4.723 eV/atom

Unit cell a=6.502 b=7.657 c=9.139 alpha=103.71 beta=110.84 gamma=90.00
Positions (direct):
Sm (0.761, 0.369, 0.713)
Sm (0.952, 0.869, 0.713)
Sm (0.326, 0.550, 0.843)
Sm (0.483, 0.950, 0.157)
Sm (0.048, 0.131, 0.287)
Sm (0.517, 0.050, 0.843)
Sm (0.239, 0.631, 0.287)
Sm (0.674, 0.450, 0.157)
Pb (0.147, 0.250, 0.000)
Pb (0.853, 0.750, 0.000)
Te (0.000, 0.500, 0.500)
Te (0.500, 0.000, 0.500)

---

(8)
Compound: Na2HoTmO4
Source: Alexandria
Functional: PBE
Structure: relaxed

Values from the calculation:
* space-group type: P2/m, No. 10
* formation energy without anion corrections: -22.76 eV/f.u.
* total magnetization: 0.0 μB/f.u.
* raw total energy: -6.785 eV/atom

Unit cell a=3.386 b=5.865 c=5.902 alpha=109.34 beta=90.00 gamma=90.00
Positions (direct):
O (0.000, 0.261, 0.790)
O (0.500, 0.234, 0.209)
O (0.500, 0.766, 0.791)
O (0.000, 0.739, 0.210)
Na (0.000, 0.500, 0.500)
Na (0.500, 0.000, 0.500)
Tm (0.000, 0.000, 0.000)
Ho (0.500, 0.500, 0.000)

---

(9)
Compound: YCr2Cl
Source: Alexandria
Functional: PBE
Structure: relaxed

Values from the calculation:
* space-group type: Amm2, No. 38
* formation energy without anion corrections: -0.54 eV/f.u.
* total magnetization: 1.0 μB/f.u.
* energy above the most stable polymorph in this dataset: 0.0 meV per atom
* raw total energy: -7.025 eV/atom

Unit cell a=3.172 b=3.204 c=7.669 alpha=77.93 beta=90.00 gamma=90.00
Positions (direct):
Cl (0.500, 0.941, 0.742)
Y (0.000, 0.570, 0.485)
Cr (0.500, 0.207, 0.211)
Cr (0.000, 0.782, 0.062)

---

(10)
Compound: Mg4Tc
Source: Alexandria
Functional: PBE
Structure: relaxed

Values from the calculation:
* calculated formation energy: 0.735 eV/f.u.
* space-group type: C2/m, No. 12
* total magnetization: 0.0 μB/f.u.
* energy above the most stable polymorph in this dataset: 0.0 meV per atom
* raw total energy: -3.202 eV/atom

Unit cell a=7.468 b=7.468 c=2.853 alpha=83.22 beta=83.22 gamma=36.96
Positions (direct):
Mg (0.591, 0.591, 0.145)
Mg (0.814, 0.814, 0.275)
Mg (0.409, 0.409, 0.855)
Mg (0.186, 0.186, 0.725)
Tc (0.000, 0.000, 0.500)

---

(11)
Compound: Ir2Au
Source: Alexandria
Functional: PBE
Structure: relaxed

Values from the calculation:
* calculated formation energy: 1.992 eV/f.u.
* space-group type: Fd-3m, No. 227
* total magnetization: 1.2 μB/f.u.
* energy above the most stable polymorph in this dataset: 441.3 meV per atom
* raw total energy: -6.336 eV/atom

Unit cell a=5.229 b=5.229 c=5.229 alpha=60.00 beta=60.00 gamma=60.00
Positions (direct):
Ir (0.125, 0.125, 0.125)
Ir (0.625, 0.125, 0.125)
Ir (0.125, 0.625, 0.125)
Ir (0.125, 0.125, 0.625)
Au (0.750, 0.750, 0.750)
Au (0.500, 0.500, 0.500)

---

(12)
Compound: BaLi2SnH
Source: Alexandria
Functional: PBE
Structure: relaxed

Values from the calculation:
* space-group type: P4/mmm, No. 123
* total magnetization: 0.0 μB/f.u.
* energy above the most stable polymorph in this dataset: 193.1 meV per atom
* raw total energy: -2.860 eV/atom

Unit cell a=4.871 b=4.871 c=5.211 alpha=90.00 beta=90.00 gamma=90.00
Positions (direct):
Ba (0.000, 0.000, 0.500)
Sn (0.500, 0.500, 0.500)
H (0.000, 0.000, 0.000)
Li (0.500, 0.000, 0.000)
Li (0.000, 0.500, 0.000)